1.
Compound: LiCuAgF4
Source: the Alexandria database
Functional: GGA-PBE
Structure: relaxed

```
LiCuAgF4
1.0
-3.837 -5.567 0.665
4.258 0.655 -4.649
1.945 -0.630 5.952
F Cu Ag Li
8 2 2 2
direct
0.256 0.511 0.717
0.671 0.942 0.721
0.329 0.058 0.279
0.256 0.511 0.294
0.730 0.058 0.279
0.744 0.489 0.706
0.270 0.942 0.721
0.744 0.489 0.283
0.000 0.500 0.500
0.500 0.500 0.500
0.092 0.183 0.842
0.908 0.817 0.158
0.500 0.000 0.500
0.500 0.000 0.000
```

Calculated values
**Uncorrected energy**: -4.07 eV/atom

***

2.
Compound: Li3CuAg3F8
Source: the Alexandria database
Functional: GGA-PBE
Structure: relaxed

```
Li3CuAg3F8
1.0
6.175 0.000 0.000
-3.088 5.140 -0.478
0.000 -3.925 6.381
Li F Ag Cu
3 8 3 1
direct
0.000 0.500 0.500
0.500 0.500 0.500
0.500 0.000 0.500
0.248 0.496 0.319
0.258 0.995 0.687
0.742 0.005 0.313
0.738 0.995 0.687
0.752 0.504 0.681
0.262 0.005 0.313
0.229 0.458 0.678
0.771 0.542 0.322
0.000 0.000 0.000
0.500 0.500 0.000
0.000 0.500 0.000
0.000 0.000 0.500
```

Calculated values
**Uncorrected energy**: -4.07 eV/atom

***

3.
Compound: LiCuAg2F8
Source: the Alexandria database
Functional: GGA-PBE
Structure: relaxed

```
LiCuAg2F8
1.0
5.971 1.038 0.000
-1.718 5.812 0.000
-2.127 -3.425 4.525
Ag F Cu Li
2 8 1 1
direct
0.500 0.500 0.000
0.750 0.250 0.500
0.938 0.721 0.217
0.753 0.052 0.701
0.279 0.496 0.217
0.948 0.247 0.299
0.350 0.052 0.299
0.948 0.650 0.701
0.279 0.062 0.783
0.504 0.721 0.783
0.250 0.750 0.500
0.000 0.000 0.000
```

Calculated values
**Uncorrected energy**: -3.56 eV/atom

***

4.
Compound: MgCuAg2F6
Source: the Alexandria database
Functional: GGA-PBE
Structure: relaxed

```
MgCuAg2F6
1.0
-1.405 -5.201 1.901
3.208 -2.379 -4.136
6.153 0.011 4.766
Mg F Ag Cu
2 12 4 2
direct
0.000 0.500 0.500
0.500 0.000 0.000
0.297 0.719 0.036
0.781 0.795 0.962
0.719 0.295 0.538
0.219 0.205 0.038
0.281 0.705 0.462
0.927 0.513 0.244
0.203 0.219 0.464
0.427 0.987 0.744
0.797 0.781 0.536
0.073 0.487 0.756
0.573 0.013 0.256
0.703 0.281 0.964
0.493 0.470 0.250
0.993 0.030 0.750
0.507 0.530 0.750
0.007 0.970 0.250
0.000 0.500 0.000
0.500 0.000 0.500
```

Calculated values
**Uncorrected energy**: -4.14 eV/atom

***

5.
Compound: MgCuAgF6
Source: the Alexandria database
Functional: GGA-PBE
Structure: relaxed

```
MgCuAgF6
1.0
-5.109 -0.068 -1.228
1.857 -3.241 3.697
-1.754 6.883 6.915
Ag F Cu Mg
2 12 2 2
direct
0.000 0.000 0.000
0.000 0.000 0.500
0.994 0.636 0.358
0.364 0.006 0.142
0.636 0.642 0.642
0.358 0.364 0.858
0.006 0.642 0.858
0.358 0.994 0.642
0.364 0.358 0.358
0.006 0.364 0.642
0.994 0.358 0.142
0.642 0.636 0.142
0.636 0.994 0.858
0.642 0.006 0.358
0.333 0.667 0.750
0.667 0.333 0.250
0.667 0.333 0.750
0.333 0.667 0.250
```

Calculated values
**Uncorrected energy**: -4.26 eV/atom